(1)
This record from Alexandria describes Li2IrN after structural relaxation. The functional is PBE.

a b c (Å): 5.3457 7.1540 4.9591
angles (deg): 90.00 90.00 90.00
Sites, in units of the cell vectors:
Li (0.1724, 0.0793, 0.1789)
Li (0.1724, 0.4207, 0.1789)
Li (0.3276, 0.5793, 0.6789)
Li (0.3276, 0.9207, 0.6789)
Li (0.6724, 0.0793, 0.3211)
Li (0.6724, 0.4207, 0.3211)
Li (0.8276, 0.5793, 0.8211)
Li (0.8276, 0.9207, 0.8211)
Ir (0.0677, 0.2500, 0.6945)
Ir (0.4323, 0.7500, 0.1945)
Ir (0.5677, 0.2500, 0.8055)
Ir (0.9323, 0.7500, 0.3055)
N (0.1438, 0.7500, 0.9707)
N (0.3562, 0.2500, 0.4707)
N (0.6438, 0.7500, 0.5293)
N (0.8562, 0.2500, 0.0293)

Properties
density of states at the Fermi level: 8.35 states/eV per cell
crystal system: orthorhombic
symmetry: Pnma (62)
formation energy (no corrections): -0.24 eV/atom

---

(2)
This record from Alexandria describes LiIr3N after structural relaxation. The functional is PBE.

a b c (Å): 4.0540 4.0540 4.0540
angles (deg): 90.00 90.00 90.00
Sites, in units of the cell vectors:
Li (0.0000, 0.0000, 0.0000)
Ir (0.0000, 0.5000, 0.5000)
Ir (0.5000, 0.0000, 0.5000)
Ir (0.5000, 0.5000, 0.0000)
N (0.5000, 0.5000, 0.5000)

Properties
density of states at the Fermi level: 2.93 states/eV per cell
crystal system: cubic
symmetry: Pm-3m (221)
formation energy (no corrections): 0.37 eV/atom
E above lowest polymorph: 0.000 eV/atom

---

(3)
This record from Alexandria describes LiIrN2 after structural relaxation. The functional is PBE.

a b c (Å): 6.6671 6.6671 6.6671
angles (deg): 25.22 25.22 25.22
Sites, in units of the cell vectors:
Li (0.0000, 0.0000, 0.0000)
Ir (0.5000, 0.5000, 0.5000)
N (0.4070, 0.4070, 0.4070)
N (0.5930, 0.5930, 0.5930)

Properties
density of states at the Fermi level: 3.71 states/eV per cell
crystal system: trigonal
symmetry: R-3m (166)
formation energy (no corrections): 0.78 eV/atom
E above lowest polymorph: 0.581 eV/atom

---

(4)
This record from Alexandria describes Li2IrN after structural relaxation. The functional is PBE.

a b c (Å): 4.2472 4.2472 3.7155
angles (deg): 90.00 90.00 90.00
Sites, in units of the cell vectors:
Li (0.0000, 0.5000, 0.0000)
Li (0.5000, 0.0000, 0.0000)
Ir (0.0000, 0.0000, 0.5000)
N (0.0000, 0.0000, 0.0000)

Properties
density of states at the Fermi level: 0.80 states/eV per cell
crystal system: tetragonal
symmetry: P4/mmm (123)
formation energy (no corrections): -0.26 eV/atom

---

(5)
This record from Alexandria describes Li2IrN after structural relaxation. The functional is PBE.

a b c (Å): 6.2762 6.2762 6.2762
angles (deg): 95.06 95.06 145.43
Sites, in units of the cell vectors:
Li (0.3750, 0.1689, 0.2939)
Li (0.8311, 0.1250, 0.2061)
Li (0.8750, 0.0811, 0.7061)
Li (0.9189, 0.6250, 0.7939)
Ir (0.2500, 0.7500, 0.5000)
Ir (0.5000, 0.5000, 0.0000)
N (0.0000, 0.0000, 0.0000)
N (0.7500, 0.2500, 0.5000)

Properties
density of states at the Fermi level: 1.68 states/eV per cell
crystal system: tetragonal
symmetry: I-42d (122)
formation energy (no corrections): -0.23 eV/atom

---

(6)
This record from Alexandria describes Li4IrN2 after structural relaxation. The functional is PBE.

a b c (Å): 6.6401 6.6401 6.6401
angles (deg): 34.12 34.12 34.12
Sites, in units of the cell vectors:
Li (0.1008, 0.1008, 0.1008)
Li (0.2938, 0.2938, 0.2938)
Li (0.7062, 0.7062, 0.7062)
Li (0.8992, 0.8992, 0.8992)
Ir (0.5000, 0.5000, 0.5000)
N (0.4008, 0.4008, 0.4008)
N (0.5992, 0.5992, 0.5992)

Properties
density of states at the Fermi level: 2.60 states/eV per cell
crystal system: trigonal
symmetry: R-3m (166)
formation energy (no corrections): -0.27 eV/atom

---

(7)
This record from Alexandria describes LiIrN2 after structural relaxation. The functional is PBE.

a b c (Å): 5.7037 5.7037 5.7037
angles (deg): 132.46 132.46 69.50
Sites, in units of the cell vectors:
Li (0.0000, 0.0000, 0.0000)
Li (0.7500, 0.2500, 0.5000)
Ir (0.2500, 0.7500, 0.5000)
Ir (0.5000, 0.5000, 0.0000)
N (0.1608, 0.6250, 0.0358)
N (0.3750, 0.4108, 0.5358)
N (0.5892, 0.1250, 0.9642)
N (0.8750, 0.8392, 0.4642)

Properties
density of states at the Fermi level: 1.68 states/eV per cell
crystal system: tetragonal
symmetry: I-42d (122)
formation energy (no corrections): 0.20 eV/atom
E above lowest polymorph: 0.000 eV/atom

---

(8)
This record from Alexandria describes LiIr3N after structural relaxation. The functional is PBE.

a b c (Å): 4.0937 4.0937 4.0937
angles (deg): 90.00 90.00 90.00
Sites, in units of the cell vectors:
Li (0.0000, 0.0000, 0.0000)
Ir (0.0000, 0.0000, 0.5000)
Ir (0.0000, 0.5000, 0.0000)
Ir (0.5000, 0.0000, 0.0000)
N (0.5000, 0.5000, 0.5000)

Properties
density of states at the Fermi level: 5.36 states/eV per cell
crystal system: cubic
symmetry: Pm-3m (221)
formation energy (no corrections): 2.27 eV/atom
E above lowest polymorph: 1.898 eV/atom

---

| no. | M_tot (μB/f.u.) |
| --- | --- |
| 1 | 0.000 |
| 2 | 0.000 |
| 3 | 0.104 |
| 4 | 0.000 |
| 5 | 0.000 |
| 6 | 0.000 |
| 7 | 0.000 |
| 8 | 0.000 |